Entry A
The following is a GGA-PBE calculation of a geometry-optimized CdNi2Cl structure, from the Alexandria database.

Geometry as CIF:
```
data_CdNi2Cl
_symmetry_space_group_name_H-M 'P m m m'
_symmetry_Int_Tables_number 47
_symmetry_space_group_name_Hall '-P 2 2'
_cell_length_a 3.0052
_cell_length_b 4.2245
_cell_length_c 5.1003
_cell_angle_alpha 90.00
_cell_angle_beta 90.00
_cell_angle_gamma 90.00
loop_
_atom_site_label
_atom_site_type_symbol
_atom_site_fract_x
_atom_site_fract_y
_atom_site_fract_z
_atom_site_occupancy
Cd1 Cd 0.0000 0.0000 0.0000 1
Ni1 Ni 0.0000 0.5000 0.5000 1
Ni2 Ni 0.5000 0.5000 0.0000 1
Cl1 Cl 0.5000 0.0000 0.5000 1
```

Output
total magnetization: 1.23 Bohr magnetons per cell
DOS(E_F): 4.08 states/eV per cell

=====

Entry B
The following is a GGA-PBE calculation of a geometry-optimized CdNi2Cl structure, from the Alexandria database.

Geometry as CIF:
```
data_CdNi2Cl
_symmetry_space_group_name_H-M 'P 1 m 1'
_symmetry_Int_Tables_number 6
_symmetry_space_group_name_Hall 'P -2y'
_cell_length_a 3.1317
_cell_length_b 3.1308
_cell_length_c 6.8532
_cell_angle_alpha 90.00
_cell_angle_beta 90.06
_cell_angle_gamma 90.00
loop_
_atom_site_label
_atom_site_type_symbol
_atom_site_fract_x
_atom_site_fract_y
_atom_site_fract_z
_atom_site_occupancy
Cd1 Cd 0.0000 0.0000 0.0000 1
Ni1 Ni 0.0018 0.0000 0.3960 1
Ni2 Ni 0.5009 0.5000 0.2303 1
Cl1 Cl 0.0034 0.5000 0.6436 1
```

Output
total magnetization: 0.98 Bohr magnetons per cell
DOS(E_F): 2.71 states/eV per cell

=====

Which of them is the least stable? Correct choice: entry A.

=====

Entry A
The following is a GGA-PBE calculation of a geometry-optimized CdNi2Cl structure, from the Alexandria database.

Geometry as CIF:
```
data_CdNi2Cl
_symmetry_space_group_name_H-M 'I -4 2 d'
_symmetry_Int_Tables_number 122
_symmetry_space_group_name_Hall 'I -4 2bw'
_cell_length_a 4.6895
_cell_length_b 4.6895
_cell_length_c 13.6978
_cell_angle_alpha 90.00
_cell_angle_beta 90.00
_cell_angle_gamma 90.00
loop_
_atom_site_label
_atom_site_type_symbol
_atom_site_fract_x
_atom_site_fract_y
_atom_site_fract_z
_atom_site_occupancy
Cd1 Cd 0.0000 0.0000 0.0000 1
Ni1 Ni 0.1098 0.2500 0.6250 1
Cl1 Cl 0.0000 0.0000 0.5000 1
```

Output
total magnetization: 0.00 Bohr magnetons per cell
DOS(E_F): 11.06 states/eV per cell

=====

Entry B
The following is a GGA-PBE calculation of a geometry-optimized CdNi2Cl structure, from the Alexandria database.

Geometry as CIF:
```
data_CdNi2Cl
_symmetry_space_group_name_H-M 'I -4 m 2'
_symmetry_Int_Tables_number 119
_symmetry_space_group_name_Hall 'I -4 -2'
_cell_length_a 3.6591
_cell_length_b 3.6591
_cell_length_c 9.5442
_cell_angle_alpha 90.00
_cell_angle_beta 90.00
_cell_angle_gamma 90.00
loop_
_atom_site_label
_atom_site_type_symbol
_atom_site_fract_x
_atom_site_fract_y
_atom_site_fract_z
_atom_site_occupancy
Cd1 Cd 0.0000 0.0000 0.0000 1
Ni1 Ni 0.0000 0.0000 0.5000 1
Ni2 Ni 0.0000 0.5000 0.2500 1
Cl1 Cl 0.0000 0.5000 0.7500 1
```

Output
total magnetization: 1.93 Bohr magnetons per cell
DOS(E_F): 10.80 states/eV per cell

=====

Which of them is the least stable? Correct choice: entry B.

=====

Entry A
The following is a GGA-PBE calculation of a geometry-optimized CdNi2Cl structure, from the Alexandria database.

Geometry as CIF:
```
data_CdNi2Cl
_symmetry_space_group_name_H-M 'I m m m'
_symmetry_Int_Tables_number 71
_symmetry_space_group_name_Hall '-I 2 2'
_cell_length_a 2.9028
_cell_length_b 5.3373
_cell_length_c 8.2659
_cell_angle_alpha 90.00
_cell_angle_beta 90.00
_cell_angle_gamma 90.00
loop_
_atom_site_label
_atom_site_type_symbol
_atom_site_fract_x
_atom_site_fract_y
_atom_site_fract_z
_atom_site_occupancy
Cd1 Cd 0.0000 0.0000 0.0000 1
Ni1 Ni 0.0000 0.5000 0.2270 1
Cl1 Cl 0.0000 0.0000 0.5000 1
```

Output
total magnetization: 0.72 Bohr magnetons per cell
DOS(E_F): 9.64 states/eV per cell

=====

Entry B
The following is a GGA-PBE calculation of a geometry-optimized CdNi2Cl structure, from the Alexandria database.

Geometry as CIF:
```
data_CdNi2Cl
_symmetry_space_group_name_H-M 'R 3 m'
_symmetry_Int_Tables_number 160
_symmetry_space_group_name_Hall 'R 3 -2"'
_cell_length_a 3.1549
_cell_length_b 3.1549
_cell_length_c 23.4780
_cell_angle_alpha 90.00
_cell_angle_beta 90.00
_cell_angle_gamma 120.00
loop_
_atom_site_label
_atom_site_type_symbol
_atom_site_fract_x
_atom_site_fract_y
_atom_site_fract_z
_atom_site_occupancy
Cd1 Cd 0.0000 0.0000 0.0000 1
Ni1 Ni 0.0000 0.0000 0.4859 1
Ni2 Ni 0.0000 0.0000 0.7508 1
Cl1 Cl 0.0000 0.0000 0.2143 1
```

Output
total magnetization: 3.92 Bohr magnetons per cell
DOS(E_F): 14.63 states/eV per cell

=====

Which of them is the least stable? Correct choice: entry A.